! Sn3SeS (PBE, optimized geometry); values from VASP
! Uncorrected formation energy = 537.9 meV/atom
&SYSTEM
  ibrav = 0, nat = 5, ntyp = 3
/
ATOMIC_SPECIES
Sn 118.71 Sn.upf
Se 78.96 Se.upf
S 32.06 S.upf
CELL_PARAMETERS angstrom
5.5498 0.0000 0.0000
0.0000 5.5498 0.0000
0.0000 0.0000 5.5498
ATOMIC_POSITIONS angstrom
Sn 0.0000 0.0000 2.7749
Sn 0.0000 2.7749 0.0000
Sn 2.7749 0.0000 0.0000
Se 0.0000 0.0000 0.0000
S 2.7749 2.7749 2.7749